1.
Material: SrTiZnP2O8
Method: DFT, PBE-GGA
State: optimized geometry

Calculated values
calculated total energy = -7.061 eV per atom
N(E_F) = 3.79 states/eV/cell
E_form (uncorrected) = -2343 meV per atom

abc: 5.5563 6.9510 9.4955
angles: 108.08 105.18 97.18
Fractional coordinates of all 26 atoms:
1 Sr 0.2049 0.2432 0.4518
2 Sr 0.7951 0.7568 0.5482
3 Ti 0.0620 0.8137 0.9440
4 Ti 0.9380 0.1863 0.0560
5 Zn 0.3523 0.2388 0.8571
6 Zn 0.6477 0.7612 0.1429
7 P 0.1594 0.6836 0.2685
8 P 0.4420 0.7773 0.7940
9 P 0.5580 0.2227 0.2060
10 P 0.8406 0.3164 0.7315
11 O 0.0263 0.3065 0.8872
12 O 0.1002 0.8370 0.4045
13 O 0.1012 0.4578 0.2631
14 O 0.2408 0.9197 0.7902
15 O 0.2807 0.0853 0.1501
16 O 0.3861 0.6178 0.6322
17 O 0.4110 0.6886 0.9242
18 O 0.4466 0.7507 0.2826
19 O 0.5534 0.2493 0.7174
20 O 0.5890 0.3114 0.0758
21 O 0.6139 0.3822 0.3678
22 O 0.7193 0.9147 0.8499
23 O 0.7592 0.0803 0.2098
24 O 0.8988 0.5422 0.7369
25 O 0.8998 0.1630 0.5955
26 O 0.9737 0.6935 0.1128

---

2.
Material: PrCdCuNi
Method: DFT, PBE-GGA
State: optimized geometry

Calculated values
calculated total energy = -4.019 eV per atom
N(E_F) = 3.31 states/eV/cell
calculated formation energy = -0.13 eV per atom

abc: 4.7868 4.7868 4.7868
angles: 60.00 60.00 60.00
Fractional coordinates of all 4 atoms:
1 Pr 0.0000 0.0000 0.0000
2 Cd 0.5000 0.5000 0.5000
3 Cu 0.7500 0.7500 0.7500
4 Ni 0.2500 0.2500 0.2500

---

3.
Material: Ba2ZrCu
Method: DFT, PBE-GGA
State: optimized geometry

Calculated values
calculated total energy = -3.540 eV per atom
energy relative to the lowest polymorph listed for this composition = 320 meV/atom
N(E_F) = 6.71 states/eV/cell
calculated formation energy = 0.58 eV per atom

abc: 10.8400 10.8400 10.8400
angles: 20.28 20.28 20.28
Fractional coordinates of all 4 atoms:
1 Ba 0.2407 0.2407 0.2407
2 Ba 0.7593 0.7593 0.7593
3 Zr 0.0000 0.0000 0.0000
4 Cu 0.5000 0.5000 0.5000

---

4.
Material: Ag12Pd7Pt
Method: DFT, PBE-GGA
State: optimized geometry

Calculated values
calculated total energy = -3.786 eV per atom
N(E_F) = 5.66 states/eV/cell
calculated formation energy = 0.04 eV per atom

abc: 7.4723 7.4723 7.4723
angles: 106.74 106.74 106.74
Fractional coordinates of all 20 atoms:
1 Ag 0.1089 0.4388 0.2067
2 Ag 0.1116 0.2760 0.8233
3 Ag 0.1767 0.8884 0.7240
4 Ag 0.2067 0.1089 0.4388
5 Ag 0.2760 0.8233 0.1116
6 Ag 0.4388 0.2067 0.1089
7 Ag 0.5612 0.7933 0.8911
8 Ag 0.7240 0.1767 0.8884
9 Ag 0.7933 0.8911 0.5612
10 Ag 0.8233 0.1116 0.2760
11 Ag 0.8884 0.7240 0.1767
12 Ag 0.8911 0.5612 0.7933
13 Pd 0.0000 0.0000 0.0000
14 Pd 0.1792 0.4978 0.6063
15 Pd 0.3937 0.8208 0.5022
16 Pd 0.4978 0.6063 0.1792
17 Pd 0.5022 0.3937 0.8208
18 Pd 0.6063 0.1792 0.4978
19 Pd 0.8208 0.5022 0.3937
20 Pt 0.5000 0.5000 0.5000

---

5.
Material: KSiAu3
Method: DFT, PBE-GGA
State: optimized geometry

Calculated values
calculated total energy = -3.559 eV per atom
N(E_F) = 1.56 states/eV/cell
E_form (uncorrected) = -289 meV per atom

abc: 4.7285 6.9339 6.9339
angles: 86.68 90.00 90.00
Fractional coordinates of all 10 atoms:
1 K 0.0000 0.0000 0.0000
2 K 0.0000 0.4658 0.4658
3 Si 0.5000 0.0661 0.5618
4 Si 0.5000 0.5618 0.0661
5 Au 0.0000 0.5253 0.9513
6 Au 0.0000 0.9513 0.5253
7 Au 0.5000 0.2337 0.2337
8 Au 0.5000 0.3048 0.8025
9 Au 0.5000 0.7344 0.7344
10 Au 0.5000 0.8025 0.3048

---

6.
Material: CuPdRh2N
Method: DFT, PBE-GGA
State: optimized geometry

Calculated values
calculated total energy = -6.237 eV per atom
energy relative to the lowest polymorph listed for this composition = 0 meV/atom
N(E_F) = 4.84 states/eV/cell
E_form (uncorrected) = 227 meV per atom

abc: 3.9754 3.9754 4.2276
angles: 90.00 90.00 90.00
Fractional coordinates of all 5 atoms:
1 Cu 0.0000 0.0000 0.0000
2 Pd 0.5000 0.5000 0.0000
3 Rh 0.0000 0.5000 0.5000
4 Rh 0.5000 0.0000 0.5000
5 N 0.5000 0.5000 0.5000

---

7.
Material: Nd2SmMg9
Method: DFT, PBE-GGA
State: optimized geometry

Calculated values
calculated total energy = -2.445 eV per atom
N(E_F) = 11.78 states/eV/cell
calculated formation energy = -0.06 eV per atom

abc: 10.5037 10.5037 10.5037
angles: 33.65 33.65 33.65
Fractional coordinates of all 12 atoms:
1 Nd 0.1424 0.1424 0.1424
2 Nd 0.8576 0.8576 0.8576
3 Sm 0.0000 0.0000 0.0000
4 Mg 0.0799 0.5846 0.5846
5 Mg 0.3339 0.3339 0.3339
6 Mg 0.4154 0.4154 0.9201
7 Mg 0.4154 0.9201 0.4154
8 Mg 0.5000 0.5000 0.5000
9 Mg 0.5846 0.0799 0.5846
10 Mg 0.5846 0.5846 0.0799
11 Mg 0.6661 0.6661 0.6661
12 Mg 0.9201 0.4154 0.4154

---

8.
Material: Rb2NdBr5
Method: DFT, PBE-GGA
State: optimized geometry

Calculated values
calculated total energy = -3.744 eV per atom
energy relative to the lowest polymorph listed for this composition = 0 meV/atom
N(E_F) = 0.00 states/eV/cell
E_form (uncorrected) = -1861 meV per atom

abc: 14.0946 9.4026 8.8340
angles: 90.00 90.00 90.00
Fractional coordinates of all 32 atoms:
1 Rb 0.1713 0.0054 0.0637
2 Rb 0.1713 0.4946 0.0637
3 Rb 0.3287 0.5054 0.5637
4 Rb 0.3287 0.9946 0.5637
5 Rb 0.6713 0.0054 0.4363
6 Rb 0.6713 0.4946 0.4363
7 Rb 0.8287 0.5054 0.9363
8 Rb 0.8287 0.9946 0.9363
9 Nd 0.0055 0.2500 0.5735
10 Nd 0.4945 0.7500 0.0735
11 Nd 0.5055 0.2500 0.9265
12 Nd 0.9945 0.7500 0.4265
13 Br 0.0116 0.2500 0.9095
14 Br 0.0692 0.5444 0.6652
15 Br 0.0692 0.9556 0.6652
16 Br 0.1787 0.2500 0.3879
17 Br 0.1974 0.7500 0.3509
18 Br 0.3026 0.2500 0.8509
19 Br 0.3213 0.7500 0.8879
20 Br 0.4308 0.0444 0.1652
21 Br 0.4308 0.4556 0.1652
22 Br 0.4884 0.7500 0.4095
23 Br 0.5116 0.2500 0.5905
24 Br 0.5692 0.5444 0.8348
25 Br 0.5692 0.9556 0.8348
26 Br 0.6787 0.2500 0.1121
27 Br 0.6974 0.7500 0.1491
28 Br 0.8026 0.2500 0.6491
29 Br 0.8213 0.7500 0.6121
30 Br 0.9308 0.0444 0.3348
31 Br 0.9308 0.4556 0.3348
32 Br 0.9884 0.7500 0.0905

---

9.
Material: FeIr2Cl
Method: DFT, PBE-GGA
State: optimized geometry

Calculated values
calculated total energy = -6.667 eV per atom
energy relative to the lowest polymorph listed for this composition = 0 meV/atom
N(E_F) = 4.20 states/eV/cell
E_form (uncorrected) = 340 meV per atom

abc: 4.5587 4.5587 6.3850
angles: 90.69 90.69 35.89
Fractional coordinates of all 4 atoms:
1 Fe 0.0000 0.0000 0.0000
2 Ir 0.2850 0.2850 0.7998
3 Ir 0.5574 0.5574 0.6723
4 Cl 0.5210 0.5210 0.2910

---

10.
Material: TiCu2As2
Method: DFT, PBE-GGA
State: optimized geometry

Calculated values
calculated total energy = -5.175 eV per atom
N(E_F) = 6.04 states/eV/cell
calculated formation energy = -0.10 eV per atom

abc: 6.9501 6.9501 3.2215
angles: 90.00 90.00 90.00
Fractional coordinates of all 10 atoms:
1 Ti 0.0000 0.0000 0.0000
2 Ti 0.5000 0.5000 0.0000
3 Cu 0.1335 0.3665 0.5000
4 Cu 0.3665 0.8665 0.5000
5 Cu 0.6335 0.1335 0.5000
6 Cu 0.8665 0.6335 0.5000
7 As 0.1655 0.6655 0.0000
8 As 0.3345 0.1655 0.0000
9 As 0.6655 0.8345 0.0000
10 As 0.8345 0.3345 0.0000

---

Q: The highest N(E_F) belongs to which entry?
A: Nd2SmMg9

---

Q: Look up the calculated total energy of the eighth one.
A: -3.744 eV per atom

---

Q: The lowest N(E_F) belongs to which entry?
A: Rb2NdBr5